No. 1
Density functional theory data (PBE) for a relaxed structure of MoPdSeBr2.

Calculated values
Energy above the lowest structure with this stoichiometry: 0.00 eV per formula unit
V: 26.77 A^3/atom
Symmetry: P4/mmm
Uncorrected formation energy: 0.41 eV/atom

a b c (Å): 5.266 5.266 4.827
angles (deg): 90.00 90.00 90.00
Positions (direct):
Mo 0.000 0.000 0.000
Pd 0.500 0.500 0.500
Se 0.000 0.000 0.500
Br 0.000 0.500 0.000
Br 0.500 0.000 0.000

No. 2
Density functional theory data (PBE) for a relaxed structure of AcTb2Nd3.

Calculated values
Formation enthalpy at 0 K: 0.035 eV/atom
Energy above the lowest structure with this stoichiometry: 0.00 eV per formula unit
V: 35.65 A^3/atom
Symmetry: C2/c

a b c (Å): 6.392 6.392 12.238
angles (deg): 110.25 110.25 70.91
Positions (direct):
Ac 0.125 0.875 0.750
Ac 0.875 0.125 0.250
Tb 0.041 0.291 0.582
Tb 0.291 0.041 0.082
Tb 0.709 0.959 0.918
Tb 0.959 0.709 0.418
Nd 0.210 0.459 0.919
Nd 0.375 0.625 0.250
Nd 0.459 0.210 0.419
Nd 0.541 0.790 0.581
Nd 0.625 0.375 0.750
Nd 0.790 0.541 0.081

No. 3
Density functional theory data (PBE) for a relaxed structure of ThAl3Pd.

Calculated values
Formation enthalpy at 0 K: -0.698 eV/atom
Energy above the lowest structure with this stoichiometry: 0.00 eV per formula unit
V: 19.89 A^3/atom
Symmetry: I4mm

a b c (Å): 6.166 6.166 6.166
angles (deg): 139.13 139.13 59.18
Positions (direct):
Th 0.000 0.000 0.000
Al 0.258 0.758 0.500
Al 0.413 0.413 0.000
Al 0.758 0.258 0.500
Pd 0.641 0.641 0.000

No. 4
Density functional theory data (PBE) for a relaxed structure of CeMg6Zn.

Calculated values
Formation enthalpy at 0 K: 0.031 eV/atom
Energy above the lowest structure with this stoichiometry: 0.00 eV per formula unit
V: 23.99 A^3/atom
Symmetry: Amm2

a b c (Å): 4.872 7.201 7.201
angles (deg): 49.44 90.00 90.00
Positions (direct):
Ce 0.000 0.000 0.000
Mg 0.000 0.495 0.982
Mg 0.000 0.982 0.495
Mg 0.500 0.125 0.628
Mg 0.500 0.162 0.162
Mg 0.500 0.589 0.589
Mg 0.500 0.628 0.125
Zn 0.000 0.428 0.428

No. 5
Density functional theory data (PBE) for a relaxed structure of Dy4Pb5.

Calculated values
Formation enthalpy at 0 K: -0.405 eV/atom
V: 28.66 A^3/atom
Symmetry: P6_3/mcm

a b c (Å): 9.542 9.542 6.542
angles (deg): 90.00 90.00 120.00
Positions (direct):
Dy 0.000 0.000 0.000
Dy 0.000 0.000 0.500
Dy 0.000 0.381 0.250
Dy 0.000 0.619 0.750
Dy 0.381 0.000 0.250
Dy 0.381 0.381 0.750
Dy 0.619 0.000 0.750
Dy 0.619 0.619 0.250
Pb 0.000 0.288 0.750
Pb 0.000 0.712 0.250
Pb 0.288 0.000 0.750
Pb 0.288 0.288 0.250
Pb 0.333 0.667 0.000
Pb 0.333 0.667 0.500
Pb 0.667 0.333 0.000
Pb 0.667 0.333 0.500
Pb 0.712 0.000 0.250
Pb 0.712 0.712 0.750

No. 6
Density functional theory data (PBE) for a relaxed structure of CsGe2SF.

Calculated values
V: 26.22 A^3/atom
Symmetry: P4/mmm
Uncorrected formation energy: -0.17 eV/atom

a b c (Å): 4.714 4.714 5.898
angles (deg): 90.00 90.00 90.00
Positions (direct):
Cs 0.000 0.000 0.000
Ge 0.000 0.500 0.500
Ge 0.500 0.000 0.500
S 0.500 0.500 0.000
F 0.000 0.000 0.500

No. 7
Density functional theory data (PBE) for a relaxed structure of CsC2.

Calculated values
Formation enthalpy at 0 K: 3.004 eV/atom
Energy above the lowest structure with this stoichiometry: 6.21 eV per formula unit
V: 16.86 A^3/atom
Symmetry: I4/mmm

a b c (Å): 6.169 6.169 6.169
angles (deg): 152.32 152.32 39.55
Positions (direct):
Cs 0.000 0.000 0.000
C 0.260 0.260 0.000
C 0.740 0.740 0.000

No. 8
Density functional theory data (PBE) for a relaxed structure of Tb2PmPt.

Calculated values
Formation enthalpy at 0 K: -0.502 eV/atom
Energy above the lowest structure with this stoichiometry: 0.73 eV per formula unit
V: 30.55 A^3/atom
Symmetry: R-3m

a b c (Å): 9.805 9.805 9.805
angles (deg): 22.61 22.61 22.61
Positions (direct):
Tb 0.228 0.228 0.228
Tb 0.772 0.772 0.772
Pm 0.000 0.000 0.000
Pt 0.500 0.500 0.500

No. 9
Density functional theory data (PBE) for a relaxed structure of RbBi.

Calculated values
Formation enthalpy at 0 K: -0.345 eV/atom
Energy above the lowest structure with this stoichiometry: 0.02 eV per formula unit
V: 48.29 A^3/atom
Symmetry: P2_1/m

a b c (Å): 5.902 4.900 7.295
angles (deg): 90.00 113.71 90.00
Positions (direct):
Rb 0.133 0.250 0.268
Rb 0.867 0.750 0.732
Bi 0.431 0.250 0.860
Bi 0.569 0.750 0.140

No. 10
Density functional theory data (PBE) for a relaxed structure of KCd2P.

Calculated values
Formation enthalpy at 0 K: 0.139 eV/atom
V: 24.69 A^3/atom
Symmetry: F-43m

a b c (Å): 5.189 5.189 5.189
angles (deg): 60.00 60.00 60.00
Positions (direct):
K 0.000 0.000 0.000
Cd 0.250 0.250 0.250
Cd 0.500 0.500 0.500
P 0.750 0.750 0.750

No. 11
Density functional theory data (PBE) for a relaxed structure of TiVZn2In.

Calculated values
Formation enthalpy at 0 K: 0.844 eV/atom
V: 21.23 A^3/atom
Symmetry: P4/mmm

a b c (Å): 4.984 4.984 4.274
angles (deg): 90.00 90.00 90.00
Positions (direct):
Ti 0.000 0.000 0.000
V 0.000 0.000 0.500
Zn 0.000 0.500 0.000
Zn 0.500 0.000 0.000
In 0.500 0.500 0.500

No. 12
Density functional theory data (PBE) for a relaxed structure of AlMo2Cl.

Calculated values
Energy above the lowest structure with this stoichiometry: 0.00 eV per formula unit
V: 18.75 A^3/atom
Symmetry: P4mm
Uncorrected formation energy: 0.04 eV/atom

a b c (Å): 3.110 3.110 7.754
angles (deg): 90.00 90.00 90.00
Positions (direct):
Al 0.000 0.000 0.000
Mo 0.000 0.000 0.618
Mo 0.500 0.500 0.811
Cl 0.500 0.500 0.387

No. 13
Density functional theory data (PBE) for a relaxed structure of Fe3RuSe.

Calculated values
Energy above the lowest structure with this stoichiometry: 1.68 eV per formula unit
V: 19.57 A^3/atom
Symmetry: Pm-3m
Uncorrected formation energy: 1.30 eV/atom

a b c (Å): 4.608 4.608 4.608
angles (deg): 90.00 90.00 90.00
Positions (direct):
Fe 0.000 0.000 0.500
Fe 0.000 0.500 0.000
Fe 0.500 0.000 0.000
Ru 0.000 0.000 0.000
Se 0.500 0.500 0.500

No. 14
Density functional theory data (PBE) for a relaxed structure of B5C7.

Calculated values
Formation enthalpy at 0 K: 0.363 eV/atom
Energy above the lowest structure with this stoichiometry: 1.26 eV per formula unit
V: 6.29 A^3/atom
Symmetry: Cm

a b c (Å): 4.234 4.234 7.907
angles (deg): 114.33 114.33 36.24
Positions (direct):
B 0.000 0.000 0.000
B 0.128 0.128 0.233
B 0.249 0.249 0.062
B 0.547 0.547 0.479
B 0.801 0.801 0.582
C 0.205 0.205 0.834
C 0.407 0.407 0.876
C 0.409 0.409 0.687
C 0.614 0.614 0.722
C 0.717 0.717 0.354
C 0.885 0.885 0.163
C 0.927 0.927 0.373

No. 15
Density functional theory data (PBE) for a relaxed structure of HS8Br2.

Calculated values
Final energy: -3.455 eV per atom
V: 30.72 A^3/atom
Symmetry: P-1

a b c (Å): 5.681 7.689 7.892
angles (deg): 79.24 89.14 86.15
Positions (direct):
H 0.000 0.000 0.000
S 0.032 0.340 0.861
S 0.144 0.426 0.199
S 0.208 0.846 0.083
S 0.485 0.893 0.448
S 0.515 0.107 0.552
S 0.792 0.154 0.917
S 0.856 0.574 0.801
S 0.968 0.660 0.139
Br 0.186 0.744 0.623
Br 0.814 0.256 0.377

No. 16
Density functional theory data (PBE) for a relaxed structure of TmV2Ru3.

Calculated values
Formation enthalpy at 0 K: -0.304 eV/atom
V: 15.43 A^3/atom
Symmetry: P4/mmm

a b c (Å): 3.041 3.041 10.009
angles (deg): 90.00 90.00 90.00
Positions (direct):
Tm 0.000 0.000 0.000
V 0.000 0.000 0.345
V 0.000 0.000 0.655
Ru 0.500 0.500 0.209
Ru 0.500 0.500 0.500
Ru 0.500 0.500 0.791